A geometry-optimized Sr5GeN4F2 structure, computed with GGA-PBE.

Output
Density: 4.5 g cm⁻³
E_tot: -5.494 eV per atom
M_tot: 0.00 μB/cell

Lattice parameters (Å, degrees): 7.3966 5.8102 5.8102 116.56 90.00 90.00
Fractional coordinates of all 12 atoms:
Sr1 0.0000 0.0000 0.0000
Sr2 0.2817 0.3026 0.6709
Sr3 0.2817 0.6709 0.3026
Sr4 0.7183 0.3026 0.6709
Sr5 0.7183 0.6709 0.3026
Ge1 0.5000 0.0044 0.0044
N1 0.2870 0.1969 0.1969
N2 0.5000 0.6582 0.9688
N3 0.5000 0.9688 0.6582
N4 0.7130 0.1969 0.1969
F1 0.0000 0.5533 0.9583
F2 0.0000 0.9583 0.5533